(1)
# Ba6InH2

An optimized crystal structure of Ba6InH2 (PBE-GGA, Alexandria via LeMat-Bulk).

Geometry as POSCAR:
```
Ba6InH2
1.0
8.4564 0.3237 0.3134
2.8358 9.8537 0.5671
2.8358 0.8861 9.8302
Ba In H
12 2 4
Cartesian
7.9195 7.9076 5.9154
10.4367 5.0569 3.1556
6.2085 3.1559 4.7953
3.6913 6.0066 7.5551
11.8102 8.9448 4.7185
6.5461 6.2196 2.0802
2.3179 2.1187 5.9922
7.5820 4.8440 8.6305
6.1624 8.9737 9.4795
3.7375 1.1363 1.8921
7.9657 2.0898 1.2311
10.3905 9.9272 8.8186
4.9499 2.4938 8.3314
9.1781 8.5697 2.3793
6.2219 6.9147 7.7973
3.6780 2.8844 3.8956
7.9062 4.1488 2.9134
10.4501 8.1791 6.8151
```

Properties
Crystal system: monoclinic
Fermi-level density of states, states/eV/f.u.: 9.158
Final energy, eV/atom: -2.55
Calculated volume, A^3/atom: 44.36
Spin magnetization, μB/cell: 0.75

(2)
# Ba6In3H

An optimized crystal structure of Ba6In3H (PBE-GGA, Alexandria via LeMat-Bulk).

Geometry as POSCAR:
```
Ba6In3H
1.0
7.5878 0.0000 0.0000
0.0000 10.7055 0.1153
0.0000 -2.2766 10.4612
Ba In H
12 6 2
Cartesian
1.4780 6.4690 7.3602
5.2718 5.7310 7.9483
1.5658 2.8438 9.0815
5.3597 8.2179 4.7986
7.4217 -1.2216 9.6205
5.4133 1.6854 7.3037
1.6194 6.7435 3.2728
3.6278 9.6505 0.9560
1.5658 0.2110 5.7779
5.3597 5.5851 1.4950
1.4780 2.6979 2.6282
5.2718 1.9599 3.2163
3.9307 -1.5716 7.9557
0.1368 8.1058 0.2433
3.2264 4.0356 5.4307
7.0203 4.3932 5.1458
0.1368 10.0005 2.6208
3.9307 0.3231 10.3332
0.2297 0.8770 7.9480
4.0236 7.5519 2.6285
```

Properties
Crystal system: orthorhombic
Fermi-level density of states, states/eV/f.u.: 8.665
Final energy, eV/atom: -2.61
Calculated volume, A^3/atom: 42.59
Spin magnetization, μB/cell: 0.00

(3)
# Ba8InH2

An optimized crystal structure of Ba8InH2 (PBE-GGA, Alexandria via LeMat-Bulk).

Geometry as POSCAR:
```
Ba8InH2
1.0
-2.8784 3.9086 -5.7516
-7.7951 2.7857 4.4482
-0.5110 8.2319 4.5039
Ba In H
8 1 2
Cartesian
-3.8064 9.1338 3.8512
-3.4628 8.7200 -0.6208
-7.6059 10.1142 5.7183
-3.5786 4.8121 -2.5178
-7.7218 6.2063 3.8213
-7.3782 5.7925 -0.6507
-7.6839 10.2615 1.5155
-3.5006 4.6648 1.6851
0.0000 0.0000 0.0000
-8.6258 11.4991 3.6721
-2.5588 3.4271 -0.4716
```

Properties
Crystal system: monoclinic
Fermi-level density of states, states/eV/f.u.: 11.755
Final energy, eV/atom: -2.40
Calculated volume, A^3/atom: 50.77
Spin magnetization, μB/cell: 1.81

(4)
# Ba2InH

An optimized crystal structure of Ba2InH (PBE-GGA, Alexandria via LeMat-Bulk).

Geometry as POSCAR:
```
Ba2InH
1.0
-0.0923 2.7794 3.3860
-2.9531 -0.5338 3.1926
4.3955 -4.1674 6.3756
H Ba In
1 2 1
Cartesian
0.0000 0.0000 0.0000
0.0811 -0.2474 3.0403
1.2691 -1.6744 9.9139
0.6751 -0.9609 6.4771
```

Properties
Crystal system: trigonal
Fermi-level density of states, states/eV/f.u.: 3.149
Final energy, eV/atom: -2.71
Calculated volume, A^3/atom: 35.01
Spin magnetization, μB/cell: 0.00

Please write out number 2 again, unchanged.
# Ba6In3H

An optimized crystal structure of Ba6In3H (PBE-GGA, Alexandria via LeMat-Bulk).

Geometry as POSCAR:
```
Ba6In3H
1.0
7.5878 0.0000 0.0000
0.0000 10.7055 0.1153
0.0000 -2.2766 10.4612
Ba In H
12 6 2
Cartesian
1.4780 6.4690 7.3602
5.2718 5.7310 7.9483
1.5658 2.8438 9.0815
5.3597 8.2179 4.7986
7.4217 -1.2216 9.6205
5.4133 1.6854 7.3037
1.6194 6.7435 3.2728
3.6278 9.6505 0.9560
1.5658 0.2110 5.7779
5.3597 5.5851 1.4950
1.4780 2.6979 2.6282
5.2718 1.9599 3.2163
3.9307 -1.5716 7.9557
0.1368 8.1058 0.2433
3.2264 4.0356 5.4307
7.0203 4.3932 5.1458
0.1368 10.0005 2.6208
3.9307 0.3231 10.3332
0.2297 0.8770 7.9480
4.0236 7.5519 2.6285
```

Properties
Crystal system: orthorhombic
Fermi-level density of states, states/eV/f.u.: 8.665
Final energy, eV/atom: -2.61
Calculated volume, A^3/atom: 42.59
Spin magnetization, μB/cell: 0.00